Density functional theory data (PBE) for an optimized crystal structure of Ni2GeMoRu.

a b c (Å): 4.5240 4.5838 4.5240
angles (deg): 90.00 90.00 90.00
Last column: nearest neighbours and their distance in Å.
Atoms (fractional coordinates):
Ru1 0.0000 0.5000 0.0000  2 Mo 2.29
Mo1 0.0000 0.0000 0.0000  4 Ni 2.26, 2 Ru 2.29
Ge1 0.5000 0.5000 0.5000  4 Ru 3.20, 8 Ni 3.22
Ni1 0.0000 0.0000 0.5000  2 Mo 2.26
Ni2 0.5000 0.0000 0.0000  2 Mo 2.26

Values from the calculation:
- SG: No. 123
- V: 18.8 Å³ per atom
- Magnetization: 0.0 μB/f.u.
- ΔH_f (0 K): 1.343 eV/atom
- Total DFT energy (no corrections): -29.6 eV for the cell shown